La2Pm2Y5: optimized geometry, PBE.

Cell: 3.526 12.437 9.941 Å, 46.44 90.00 98.15°
Positions (direct):
La1 0.504 0.009 0.680
La2 0.496 0.991 0.320
Pm1 0.165 0.330 0.895
Pm2 0.835 0.670 0.105
Y1 0.328 0.657 0.802
Y2 0.672 0.343 0.198
Y3 0.176 0.353 0.518
Y4 0.824 0.647 0.482
Y5 0.000 0.000 0.000

Calculated values
The energy above the lowest structure with this stoichiometry is 0.000 eV/atom. Its calculated total energy is -5.604 eV/atom. The formation enthalpy at 0 K is 3.2 kcal/mol of atoms.